Record 1
A plane-wave DFT calculation with PBE was carried out for crystalline ScFe2As at its relaxed geometry.

The structure in POSCAR format:
```
ScFe2As
1.0
-1.881 1.891 4.175
1.881 -1.891 4.175
1.881 1.891 -4.175
Sc Fe As
1 2 1
direct
0.000 0.000 0.000
0.250 0.750 0.500
0.750 0.250 0.500
0.500 0.500 0.000
```

Computed properties:
The space-group type is No. 71.

=====

Record 2
A plane-wave DFT calculation with PBE was carried out for crystalline ScFe2As at its relaxed geometry.

The structure in POSCAR format:
```
ScFe2As
1.0
1.981 1.144 4.570
-1.981 1.144 4.570
0.000 -2.288 4.570
Sc Fe As
1 2 1
direct
0.000 0.000 0.000
0.210 0.210 0.210
0.511 0.511 0.511
0.790 0.790 0.790
```

Computed properties:
The space-group type is No. 160.

=====

Record 3
A plane-wave DFT calculation with PBE was carried out for crystalline Sc2Fe2As at its relaxed geometry.

The structure in POSCAR format:
```
Sc2Fe2As
1.0
-2.524 2.524 3.471
2.524 -2.524 3.471
2.524 2.524 -3.471
Sc Fe As
2 2 1
direct
0.250 0.750 0.500
0.750 0.250 0.500
0.164 0.164 0.000
0.836 0.836 0.000
0.500 0.500 0.000
```

Computed properties:
The space-group type is No. 139.

=====

Record 4
A plane-wave DFT calculation with PBE was carried out for crystalline Sc2Fe2As at its relaxed geometry.

The structure in POSCAR format:
```
Sc2Fe2As
1.0
6.119 0.000 0.000
0.000 6.119 0.000
0.000 0.000 4.197
Sc Fe As
4 4 2
direct
0.180 0.320 0.000
0.320 0.820 0.000
0.680 0.180 0.000
0.820 0.680 0.000
0.123 0.623 0.500
0.377 0.123 0.500
0.623 0.877 0.500
0.877 0.377 0.500
0.000 0.000 0.500
0.500 0.500 0.500
```

Computed properties:
The space-group type is No. 127.

=====

Record 5
A plane-wave DFT calculation with PBE was carried out for crystalline ScFe2As at its relaxed geometry.

The structure in POSCAR format:
```
ScFe2As
1.0
0.000 3.082 3.082
3.082 0.000 3.082
3.082 3.082 0.000
Sc Fe As
1 2 1
direct
0.000 0.000 0.000
0.250 0.250 0.250
0.500 0.500 0.500
0.750 0.750 0.750
```

Computed properties:
The space-group type is No. 216.

=====

Record 6
A plane-wave DFT calculation with PBE was carried out for crystalline ScFe2As2 at its relaxed geometry.

The structure in POSCAR format:
```
ScFe2As2
1.0
7.051 0.000 0.000
0.000 7.051 0.000
0.000 0.000 3.062
Sc Fe As
2 4 4
direct
0.000 0.000 0.000
0.500 0.500 0.000
0.121 0.379 0.000
0.379 0.879 0.000
0.621 0.121 0.000
0.879 0.621 0.000
0.173 0.673 0.500
0.327 0.173 0.500
0.673 0.827 0.500
0.827 0.327 0.500
```

Computed properties:
The space-group type is No. 127.

=====

Number 1: formation energy from the elements -0.835 eV/f.u., D(E_F) 3.498 states/eV per cell. Number 2: formation energy from the elements -1.358 eV/f.u., D(E_F) 2.841 states/eV per cell. Number 3: formation energy from the elements -0.083 eV/f.u., D(E_F) 2.120 states/eV per cell. Number 4: formation energy from the elements -1.655 eV/f.u., D(E_F) 8.823 states/eV per cell. Number 5: formation energy from the elements -0.670 eV/f.u., D(E_F) 2.842 states/eV per cell. Number 6: formation energy from the elements -0.990 eV/f.u., D(E_F) 9.216 states/eV per cell.